# RbSiSeBr2

A geometry-optimized RbSiSeBr2 structure (PBE, Alexandria via LeMat-Bulk).

Summary:
VASP energy	-3.318	eV/atom
space-group type	No. 123
DOS at the Fermi energy	3.06	states/eV/f.u.
formation energy without anion corrections	-0.6734	eV/atom
total moment	0.0	μB per formula unit
relative energy among the computed polymorphs	0.000	eV/atom

```
RbSiSeBr2
1.0
5.4772 0.0000 0.0000
0.0000 5.4772 0.0000
0.0000 0.0000 4.8711
Rb Si Se Br
1 1 1 2
Direct
0.0000 0.0000 0.0000
0.5000 0.5000 0.5000
0.5000 0.5000 0.0000
0.0000 0.5000 0.5000
0.5000 0.0000 0.5000
```